Compound: LiPmThPt
Source: Alexandria via LeMat-Bulk
Functional: GGA-PBE
Structure: relaxed

```
4
Lattice="-3.037 3.275 -2.528 -5.038 -0.919 -0.349 -3.329 2.930 2.585" Properties=species:S:1:pos:R:3 pbc="T T T"
Th -5.702 2.643 -0.146
Pt -2.851 1.321 -0.073
Pm 0.000 0.000 0.000
Li -8.553 3.964 -0.219
```

Calculated values
Total DFT energy (no corrections)   -5.467 eV/atom
Crystal system   cubic
E_form   -0.436 eV/atom